! TlCu2AgCl8 | the Alexandria database | GGA-PBE | relaxed; values from VASP
&SYSTEM
  ibrav = 0, nat = 12, ntyp = 4
/
ATOMIC_SPECIES
Tl 204.38 Tl.upf
Cu 63.55 Cu.upf
Ag 107.87 Ag.upf
Cl 35.45 Cl.upf
CELL_PARAMETERS angstrom
-4.161 4.161 4.329
4.161 -4.161 4.329
4.161 4.161 -4.329
ATOMIC_POSITIONS crystal
Tl 0.000 0.000 0.000
Cu 0.250 0.750 0.500
Cu 0.500 0.500 0.000
Ag 0.750 0.250 0.500
Cl 0.066 0.375 0.309
Cl 0.066 0.757 0.691
Cl 0.122 0.315 0.807
Cl 0.243 0.934 0.309
Cl 0.508 0.315 0.193
Cl 0.625 0.934 0.691
Cl 0.685 0.492 0.807
Cl 0.685 0.878 0.193
! **Space group**: I-4m2, No. 119
! **Theoretical density**: 4.00 g cm⁻³
! **Formation energy without anion corrections**: -0.438 eV/atom

---

! BiP3Pt | the Alexandria database | GGA-PBE | relaxed; values from VASP
&SYSTEM
  ibrav = 0, nat = 5, ntyp = 3
/
ATOMIC_SPECIES
Bi 208.98 Bi.upf
P 30.97 P.upf
Pt 195.08 Pt.upf
CELL_PARAMETERS angstrom
4.758 0.000 0.000
0.000 4.758 0.000
0.000 0.000 4.758
ATOMIC_POSITIONS crystal
Bi 0.000 0.000 0.000
P 0.000 0.500 0.500
P 0.500 0.000 0.500
P 0.500 0.500 0.000
Pt 0.500 0.500 0.500
! **Space group**: Pm-3m, No. 221
! **Energy of formation**: 599 meV per atom
! **Theoretical density**: 7.66 g cm⁻³
! **Relative energy among the computed polymorphs**: 0.000 eV/atom